Entry from Alexandria: LiNd6B3O13F2 after structural relaxation (GGA-PBEsol).

Output
formation energy (no corrections) = -3.22 eV per atom
V = 12.876 A^3/atom

Cell lengths 12.0305, 6.9083, 16.0172 Å; angles 90.00, 104.70, 90.00 degrees
Space group C2/c (No. 15)
Symmetry-distinct sites (fractional):
Li: 0.0000 0.0744 0.2500 [4 per cell]
Nd: 0.0487 0.4271 0.4013 [8 per cell]
Nd: 0.1363 0.1002 0.6125 [8 per cell]
Nd: 0.2174 0.0843 0.9061 [8 per cell]
B: 0.0000 0.2862 0.7500 [4 per cell]
B: 0.1787 0.2636 0.2489 [8 per cell]
O: 0.0000 0.4829 0.7500 [4 per cell]
O: 0.0236 0.1856 0.8279 [8 per cell]
O: 0.0956 0.1988 0.1783 [8 per cell]
O: 0.1046 0.4213 0.5591 [8 per cell]
O: 0.1706 0.2272 0.3332 [8 per cell]
O: 0.2267 0.1377 0.7607 [8 per cell]
O: 0.2302 0.4156 0.9389 [8 per cell]
F: 0.0687 0.0859 0.4566 [8 per cell]



Entry from Alexandria: CaLaY2 after structural relaxation (GGA-PBEsol).

Output
energy of formation = 76 meV/atom
energy relative to the lowest polymorph listed for this composition = 12.2 meV per atom
V = 33.333 A^3/atom

Cell lengths 11.9640, 3.6052, 6.2766 Å; angles 90.00, 99.94, 90.00 degrees
Space group Cm (No. 8)
Symmetry-distinct sites (fractional):
Ca: 0.0000 0.0000 0.0000 [2 per cell]
La: 0.2544 0.5000 0.2680 [2 per cell]
Y: 0.0006 0.5000 0.5018 [2 per cell]
Y: 0.2466 0.0000 0.7405 [2 per cell]



Entry from Alexandria: ZrNbN2F after structural relaxation (GGA-PBEsol).

Output
formation energy (no corrections) = -0.79 eV per atom
V = 12.953 A^3/atom

Cell lengths 4.0852, 4.0852, 3.8807 Å; angles 90.00, 90.00, 90.00 degrees
Space group P4/mmm (No. 123)
Symmetry-distinct sites (fractional):
Zr: 0.0000 0.0000 0.0000 [1 per cell]
Nb: 0.5000 0.5000 0.5000 [1 per cell]
N: 0.0000 0.5000 0.5000 [2 per cell]
F: 0.5000 0.5000 0.0000 [1 per cell]



Entry from Alexandria: BaIClO2 after structural relaxation (GGA-PBEsol).

Output
energy relative to the lowest polymorph listed for this composition = 0.0 meV per atom
formation energy (no corrections) = -0.25 eV per atom
V = 29.871 A^3/atom

Cell lengths 4.4427, 4.4427, 7.5668 Å; angles 90.00, 90.00, 90.00 degrees
Space group P4/mmm (No. 123)
Symmetry-distinct sites (fractional):
Ba: 0.0000 0.0000 0.0000 [1 per cell]
I: 0.0000 0.0000 0.5000 [1 per cell]
Cl: 0.5000 0.5000 0.5000 [1 per cell]
O: 0.0000 0.5000 0.0000 [2 per cell]



Entry from Alexandria: GaSiSe2Br after structural relaxation (GGA-PBEsol).

Output
formation energy (no corrections) = -0.01 eV per atom
V = 23.884 A^3/atom

Cell lengths 4.7882, 4.7882, 5.2089 Å; angles 90.00, 90.00, 90.00 degrees
Space group P4/mmm (No. 123)
Symmetry-distinct sites (fractional):
Ga: 0.0000 0.0000 0.0000 [1 per cell]
Si: 0.5000 0.5000 0.5000 [1 per cell]
Se: 0.0000 0.5000 0.5000 [2 per cell]
Br: 0.5000 0.5000 0.0000 [1 per cell]



Entry from Alexandria: Ni3Sb after structural relaxation (GGA-PBEsol).

Output
energy relative to the lowest polymorph listed for this composition = 0.0 meV per atom
formation energy (no corrections) = -0.18 eV per atom
V = 12.386 A^3/atom

Cell lengths 5.2285, 12.7216, 4.4691 Å; angles 90.00, 90.00, 90.00 degrees
Space group Pmmn (No. 59, origin choice 2)
Symmetry-distinct sites (fractional):
Ni: 0.0000 0.0818 0.1732 [8 per cell]
Ni: 0.0002 0.2500 0.5143 [4 per cell]
Ni: 0.2500 0.0862 0.6717 [4 per cell]
Ni: 0.2500 0.7500 0.9696 [2 per cell]
Sb: 0.2500 0.2500 0.0271 [2 per cell]
Sb: 0.2500 0.5843 0.3276 [4 per cell]